Entry 1:
DFT (PBE-GGA) results for BaNd2Sc after structural relaxation.

Calculated values
DOS(E_F)   4.0 states/eV/cell
Formation energy from the elements   0.1198 eV/atom
SG   P4/mmm, No. 123
Crystal system   tetragonal
Total moment   0.0 μB per formula unit

abc: 3.9584 3.9584 9.6658
angles: 90.00 90.00 90.00
Atoms (fractional coordinates):
Ba (0.0000, 0.0000, 0.0000)
Nd (0.5000, 0.5000, 0.3080)
Nd (0.5000, 0.5000, 0.6920)
Sc (0.0000, 0.0000, 0.5000)

Entry 2:
DFT (PBE-GGA) results for La2USi3Pt12 after structural relaxation.

Calculated values
DOS(E_F)   8.5 states/eV/cell
SG   R-3m, No. 166
Crystal system   trigonal
Total moment   0.3 μB per formula unit
Formation energy from raw total energies   -562 meV per atom

abc: 7.9754 7.9754 7.9754
angles: 61.74 61.74 61.74
Atoms (fractional coordinates):
La (0.1022, 0.1022, 0.1022)
La (0.8978, 0.8978, 0.8978)
U (0.5000, 0.5000, 0.5000)
Si (0.0000, 0.5000, 0.5000)
Si (0.5000, 0.0000, 0.5000)
Si (0.5000, 0.5000, 0.0000)
Pt (0.1062, 0.6347, 0.6347)
Pt (0.1499, 0.1499, 0.5992)
Pt (0.1499, 0.5992, 0.1499)
Pt (0.3653, 0.3653, 0.8938)
Pt (0.3653, 0.8938, 0.3653)
Pt (0.4008, 0.8501, 0.8501)
Pt (0.5992, 0.1499, 0.1499)
Pt (0.6347, 0.1062, 0.6347)
Pt (0.6347, 0.6347, 0.1062)
Pt (0.8501, 0.4008, 0.8501)
Pt (0.8501, 0.8501, 0.4008)
Pt (0.8938, 0.3653, 0.3653)

Entry 3:
DFT (PBE-GGA) results for CaNiCl2 after structural relaxation.

Calculated values
DOS(E_F)   2.1 states/eV/cell
SG   P2/m, No. 10
Crystal system   monoclinic
Total moment   0.0 μB per formula unit
Formation energy from raw total energies   -855 meV per atom

abc: 4.7404 3.8618 4.7955
angles: 90.00 91.16 90.00
Atoms (fractional coordinates):
Ca (0.0000, 0.0000, 0.0000)
Ni (0.5000, 0.0000, 0.5000)
Cl (0.2823, 0.5000, 0.7190)
Cl (0.7177, 0.5000, 0.2810)

Number 1 is which compound?
BaNd2Sc

Number 3 is which compound?
CaNiCl2

Look up the DOS(E_F) of the first one.
4.0 states/eV/cell